Entry 1:
Crystalline Tb2NdEr4 at its relaxed geometry, computed with PBE.

Energy above the lowest structure with this stoichiometry ... 0.000 eV/atom
Calculated formation energy ... 0.011 eV per atom

a = 9.174 Å, b = 8.434 Å, c = 8.422 Å
α = 136.32°, β = 84.69°, γ = 95.45°
Fractional positions:
1 Tb 0.484 0.386 0.656
2 Tb 0.626 0.817 0.227
3 Tb 0.556 0.435 0.273
4 Tb 0.123 0.146 0.557
5 Nd 0.196 0.530 0.512
6 Nd 0.052 0.103 0.943
7 Er 0.837 0.292 0.419
8 Er 0.269 0.579 0.129
9 Er 0.981 0.718 0.989
10 Er 0.766 0.244 0.797
11 Er 0.342 0.957 0.084
12 Er 0.413 0.007 0.702
13 Er 0.695 0.863 0.845
14 Er 0.909 0.673 0.368



Entry 2:
Crystalline Sc2CuIrCl at its relaxed geometry, computed with PBE.

Formation energy from raw total energies ... 445 meV per atom

a = 4.995 Å, b = 4.178 Å, c = 4.995 Å
α = 90.00°, β = 90.00°, γ = 90.00°
Fractional positions:
1 Sc 0.000 0.000 0.500
2 Sc 0.500 0.000 0.000
3 Ir 0.500 0.500 0.500
4 Cu 0.000 0.000 0.000
5 Cl 0.000 0.500 0.000



Entry 3:
Crystalline Li2LaReSi at its relaxed geometry, computed with PBE.

Formation energy from raw total energies ... 894 meV per atom

a = 4.635 Å, b = 5.759 Å, c = 4.635 Å
α = 90.00°, β = 90.00°, γ = 90.00°
Each line ends with the local moment (μB).
Fractional positions:
1 Re 0.500 0.500 0.500  2.76
2 Si 0.000 0.000 0.000  0.06
3 Li 0.000 0.000 0.500  0.01
4 Li 0.500 0.000 0.000  0.01
5 La 0.000 0.500 0.000  -0.10



Entry 4:
Crystalline TaNi2W at its relaxed geometry, computed with PBE.

Calculated formation energy ... 0.430 eV per atom

a = 6.765 Å, b = 6.765 Å, c = 5.446 Å
α = 51.61°, β = 51.61°, γ = 90.00°
Fractional positions:
1 Ni 0.631 0.125 0.250
2 Ni 0.119 0.625 0.250
3 Ni 0.375 0.369 0.750
4 Ni 0.875 0.881 0.750
5 W 0.000 0.000 0.000
6 W 0.750 0.250 0.500
7 Ta 0.500 0.500 0.000
8 Ta 0.250 0.750 0.500



Ordered E_tot results: -4.601; -5.048; -4.431; -8.662; unit eV/atom.
Ordered density of states at the Fermi level results: 1.727; 0.593; 0.404; 1.020; unit states/eV per atom.